Entry 1:
Entry from Alexandria via LeMat-Bulk: crystalline Tb8Y4Pu at its relaxed geometry (PBE).

It has space group R-3m (No. 166, hexagonal axes), with a = 10.9814 Å, b = 10.9814 Å, c = 13.3895 Å, α = 90.00°, β = 90.00° and γ = 120.00°. The inequivalent atoms are Tb at (0.0000, 0.0000, 0.2446), Tb at (0.0068, 0.5034, 0.7476), Y at (0.0000, 0.0000, 0.0000), Y at (0.0000, 0.5000, 0.0000) and Pu at (0.0000, 0.0000, 0.5000).

The crystal system is trigonal. For the density of states at the Fermi level, the calculation gives 1.49 states/eV/atom. As for the formation energy: 533 meV/atom. The uncorrected energy comes out at -5.408 eV/atom.

***

Entry 2:
Entry from Alexandria via LeMat-Bulk: crystalline Ba2Cu2Sb at its relaxed geometry (PBE).

It has space group I4/mmm (No. 139), with a = 6.3006 Å, b = 6.3006 Å, c = 7.8245 Å, α = 90.00°, β = 90.00° and γ = 90.00°. The inequivalent atoms are Ba at (0.0000, 0.5000, 0.2500), Cu at (0.0000, 0.0000, 0.1499) and Sb at (0.0000, 0.0000, 0.5000).

The crystal system is tetragonal. For the density of states at the Fermi level, the calculation gives 0.90 states/eV/atom. The uncorrected energy comes out at -3.486 eV/atom. Its energy above the most stable polymorph in this dataset is 0.053 eV/atom. The uncorrected formation energy comes out at -0.254 eV/atom.

***

Entry 3:
Entry from Alexandria via LeMat-Bulk: crystalline RbCdIn4 at its relaxed geometry (PBE).

It has space group F-43m (No. 216), with a = 9.0662 Å, b = 9.0662 Å, c = 9.0662 Å, α = 90.00°, β = 90.00° and γ = 90.00°. The inequivalent atoms are Rb at (0.0000, 0.0000, 0.0000), Cd at (0.2500, 0.2500, 0.7500) and In at (0.1245, 0.1245, 0.3755).

The crystal system is cubic. For the density of states at the Fermi level, the calculation gives 0.35 states/eV/atom. As for the formation energy: 25 meV/atom. The uncorrected energy comes out at -2.114 eV/atom. Its energy above the most stable polymorph in this dataset is 0.088 eV/atom.

***

Entry 4:
Entry from Alexandria via LeMat-Bulk: crystalline Zn2GaW at its relaxed geometry (PBE).

It has space group I-42d (No. 122), with a = 7.0273 Å, b = 7.0273 Å, c = 5.2065 Å, α = 90.00°, β = 90.00° and γ = 90.00°. The inequivalent atoms are Zn at (0.2341, 0.2500, 0.1250), Ga at (0.0000, 0.0000, 0.0000) and W at (0.0000, 0.0000, 0.5000).

The crystal system is tetragonal. For the density of states at the Fermi level, the calculation gives 0.81 states/eV/atom. As for the formation energy: 519 meV/atom. The uncorrected energy comes out at -4.113 eV/atom.

***

Entry 5:
Entry from Alexandria via LeMat-Bulk: crystalline P2OsPbS at its relaxed geometry (PBE).

It has space group P4/mmm (No. 123), with a = 4.6039 Å, b = 4.6039 Å, c = 5.7949 Å, α = 90.00°, β = 90.00° and γ = 90.00°. The inequivalent atoms are P at (0.0000, 0.5000, 0.0000), Os at (0.0000, 0.0000, 0.0000), Pb at (0.5000, 0.5000, 0.5000) and S at (0.0000, 0.0000, 0.5000).

The crystal system is tetragonal. For the density of states at the Fermi level, the calculation gives 0.72 states/eV/atom. The uncorrected energy comes out at -5.571 eV/atom. Its energy above the most stable polymorph in this dataset is 0.000 eV/atom. The uncorrected formation energy comes out at 0.406 eV/atom.

***

Entry 6:
Entry from Alexandria via LeMat-Bulk: crystalline NaLi2US4 at its relaxed geometry (PBE).

It has space group I-4m2 (No. 119), with a = 5.4194 Å, b = 5.4194 Å, c = 10.9832 Å, α = 90.00°, β = 90.00° and γ = 90.00°. The inequivalent atoms are Na at (0.0000, 0.0000, 0.0000), Li at (0.0000, 0.0000, 0.5000), Li at (0.0000, 0.5000, 0.2500), U at (0.0000, 0.5000, 0.7500), S at (0.0000, 0.0000, 0.2591) and S at (0.0000, 0.5000, 0.5217).

The crystal system is tetragonal. For the density of states at the Fermi level, the calculation gives 0.54 states/eV/atom. The uncorrected energy comes out at -5.411 eV/atom. The uncorrected formation energy comes out at -1.293 eV/atom.

***

Entry 7:
Entry from Alexandria via LeMat-Bulk: crystalline Cd2CuAs at its relaxed geometry (PBE).

It has space group R-3m (No. 166, hexagonal axes), with a = 3.0736 Å, b = 3.0736 Å, c = 27.9444 Å, α = 90.00°, β = 90.00° and γ = 120.00°. The inequivalent atoms are Cd at (0.0000, 0.0000, 0.2439), Cu at (0.0000, 0.0000, 0.5000) and As at (0.0000, 0.0000, 0.0000).

The crystal system is trigonal. For the density of states at the Fermi level, the calculation gives 0.18 states/eV/atom. As for the formation energy: 191 meV/atom. The uncorrected energy comes out at -2.453 eV/atom.

***

Entry 8:
Entry from Alexandria via LeMat-Bulk: crystalline SmDy2Zr at its relaxed geometry (PBE).

It has space group P4/mmm (No. 123), with a = 4.0221 Å, b = 4.0221 Å, c = 7.3231 Å, α = 90.00°, β = 90.00° and γ = 90.00°. The inequivalent atoms are Sm at (0.0000, 0.0000, 0.0000), Dy at (0.5000, 0.5000, 0.2784) and Zr at (0.0000, 0.0000, 0.5000).

The crystal system is tetragonal. For the density of states at the Fermi level, the calculation gives 2.04 states/eV/atom. As for the formation energy: 173 meV/atom. The uncorrected energy comes out at -5.445 eV/atom. Its energy above the most stable polymorph in this dataset is 0.092 eV/atom.